1.
DFT (PBE) results for a relaxed CePa2Os9 crystal.

## Properties
**ρ**: 17.809 g/cm³
**Electronic total energy**: -10.609 eV/atom

Unit cell a=5.2830 b=5.2830 c=26.7823 alpha=90.00 beta=90.00 gamma=120.00
Last column: nearest neighbours and their distance in Å.
Space group R-3m (No. 166, hexagonal axes)
Unique sites:
Ce: 0.0000 0.0000 0.0000  6 Os 3.05
Pa: 0.0000 0.0000 0.1395  12 Os 3.05-3.33, 3 Pa 3.38
Os: 0.0000 0.0000 0.3379  6 Os 2.61-2.77
Os: 0.0000 0.0000 0.5000  6 Os 2.73
Os: 0.0064 0.5032 0.9173  7 Os 2.59-2.77



2.
DFT (PBE) results for a relaxed CePa2Os2 crystal.

## Properties
**ρ**: 14.581 g/cm³
**Electronic total energy**: -9.297 eV/atom

Unit cell a=5.3241 b=7.5230 c=5.6346 alpha=90.00 beta=97.37 gamma=90.00
Last column: nearest neighbours and their distance in Å.
Space group C2/m (No. 12)
Unique sites:
Ce: 0.0000 0.0000 0.0000  2 Os 2.79
Pa: 0.0000 0.1880 0.5000  2 Os 2.76, 3 Pa 2.82-2.83
Os: 0.0080 0.5000 0.7574  2 Os 2.75-2.89, 2 Pa 2.76, 1 Ce 2.79



3.
DFT (PBE) results for a relaxed CePa2Os crystal.

## Properties
**ρ**: 14.044 g/cm³
**Energy above the most stable polymorph in this dataset**: 0 meV/atom

Unit cell a=3.5814 b=3.5814 c=7.3047 alpha=90.00 beta=90.00 gamma=90.00
Last column: nearest neighbours and their distance in Å.
Space group P4/mmm (No. 123)
Unique sites:
Ce: 0.0000 0.0000 0.0000  8 Pa 3.32, 4 Ce 3.58, 2 Os 3.65
Pa: 0.5000 0.5000 0.2947  4 Os 2.94, 1 Pa 3.00
Os: 0.0000 0.0000 0.5000  8 Pa 2.94



4.
DFT (PBE) results for a relaxed CePa2Os crystal.

## Properties
**ρ**: 15.123 g/cm³
**Energy above the most stable polymorph in this dataset**: 114 meV/atom

Unit cell a=7.0341 b=7.0341 c=7.0341 alpha=90.00 beta=90.00 gamma=90.00
Last column: nearest neighbours and their distance in Å.
Space group Fm-3m (No. 225)
Unique sites:
Ce: 0.0000 0.0000 0.0000  8 Pa 3.05
Pa: 0.2500 0.2500 0.2500  4 Ce 3.05, 4 Os 3.05
Os: 0.0000 0.0000 0.5000  8 Pa 3.05